BaUAs2Pd2, relaxed, DFT PBE; E_form = -0.8258 eV per atom; magnetization = 2.058 μB per cell; space group = P-3m1
1.0
-0.9276 2.3025 3.6559
-1.9828 -3.8812 -0.7294
6.1227 -3.8789 3.9963
Pd U As Ba
2 1 2 1
Cartesian
3.0544 -2.5043 5.0228
0.1579 -2.9534 1.9001
3.0613 -1.9394 1.9981
2.7159 -4.5739 3.5697
0.4964 -0.8837 3.3532
0.0000 0.0000 0.0000



Ba2ZnAsPd6, relaxed, DFT PBE; E_form = -0.5626 eV per atom; magnetization = 0.000 μB per cell; space group = C2/m
1.0
5.8273 0.0038 -0.0100
-0.0047 8.2256 0.1270
2.9192 4.2458 4.7613
Zn Ba As Pd
1 2 1 6
Cartesian
2.9113 4.1147 0.0585
5.8289 3.8010 2.2840
2.9129 8.6741 2.5943
0.0000 0.0000 0.0000
1.5241 6.3059 0.3442
2.9148 5.2005 2.4062
4.4450 6.1675 4.5393
5.8270 7.2746 2.4721
4.2968 6.3076 0.3391
7.2177 6.1693 4.5342



BaPmAs2, relaxed, DFT PBE; E_form = -1.1392 eV per atom; magnetization = 0.000 μB per cell; energy above the most stable polymorph in this dataset = 0.0000 eV/atom; space group = R-3m
1.0
4.4172 0.0000 0.0000
2.2086 3.8254 0.0000
2.2086 1.2751 7.5458
As Pm Ba
2 1 1
Cartesian
2.2086 1.2751 1.6171
6.6257 3.8254 5.9287
0.0000 0.0000 0.0000
4.4172 2.5503 3.7729